No. 1
Computed, not measured: an optimized crystal structure of La3Ag3Pd at the PBE-GGA level of DFT.

```
La3Ag3Pd
1.0
-0.552 -0.922 -4.677
2.962 -2.556 0.154
-7.687 -5.641 4.481
Pd La Ag
1 3 3
Direct
0.431 0.431 0.862
0.993 0.993 0.987
0.688 0.188 0.376
0.322 0.822 0.645
0.144 0.644 0.288
0.856 0.356 0.712
0.565 0.565 0.131
```

Computed properties:
**Volume**: 189 Å³/cell
**DFT formation energy**: -8.97 kcal/mol of atoms

No. 2
Computed, not measured: an optimized crystal structure of BeHg2P at the PBE-GGA level of DFT.

```
BeHg2P
1.0
-7.120 1.460 3.928
-5.140 0.812 6.417
-5.228 3.798 5.148
Be Hg P
1 2 1
Direct
0.750 0.750 0.750
0.011 0.011 0.011
0.489 0.489 0.489
0.250 0.250 0.250
```

Computed properties:
**E above lowest polymorph**: 2.08 eV per formula unit
**Volume**: 73 Å³/cell
**DFT formation energy**: 12.52 kcal/mol of atoms

No. 3
Computed, not measured: an optimized crystal structure of Zn4HgPd7 at the PBE-GGA level of DFT.

```
Zn4HgPd7
1.0
4.994 0.000 0.000
2.497 7.612 0.134
2.497 0.429 5.357
Zn Hg Pd
4 1 7
Direct
0.439 0.755 0.368
0.735 0.681 0.849
0.561 0.245 0.632
0.265 0.319 0.151
0.000 0.000 0.000
0.218 0.071 0.493
0.782 0.929 0.507
0.959 0.371 0.710
0.669 0.440 0.222
0.500 0.000 0.000
0.331 0.560 0.778
0.041 0.629 0.290
```

Computed properties:
**Volume**: 203 Å³/cell
**DFT formation energy**: -3.78 kcal/mol of atoms

No. 4
Computed, not measured: an optimized crystal structure of LiDyBe17 at the PBE-GGA level of DFT.

```
LiDyBe17
1.0
-3.553 3.555 2.756
-4.816 -1.649 -2.635
-1.742 -3.720 3.999
Dy Be Li
1 17 1
Direct
0.657 0.657 0.657
0.992 0.992 0.506
0.338 0.338 0.857
0.712 0.285 0.004
0.904 0.904 0.904
0.506 0.992 0.992
0.285 0.004 0.712
0.992 0.506 0.992
0.338 0.857 0.338
0.097 0.097 0.097
0.004 0.285 0.712
0.158 0.660 0.660
0.004 0.712 0.285
0.660 0.158 0.660
0.857 0.338 0.338
0.660 0.660 0.158
0.712 0.004 0.285
0.285 0.712 0.004
0.340 0.340 0.340
```

Computed properties:
**Volume**: 185 Å³/cell
**DFT formation energy**: -0.79 kcal/mol of atoms

No. 5
Computed, not measured: an optimized crystal structure of HoFeNi3 at the PBE-GGA level of DFT.

```
HoFeNi3
1.0
-4.069 2.537 0.847
-4.398 -6.405 -1.947
4.283 0.752 4.325
Fe Ni Ho
2 6 2
Direct
0.500 0.000 0.000
0.000 0.500 0.000
0.250 0.250 0.000
0.750 0.250 0.000
0.250 0.920 0.500
0.750 0.080 0.500
0.750 0.750 0.000
0.250 0.750 0.000
0.250 0.286 0.500
0.750 0.714 0.500
```

Computed properties:
**Volume**: 154 Å³/cell
**DFT formation energy**: -2.90 kcal/mol of atoms

No. 6
Computed, not measured: an optimized crystal structure of Ce2TmTl3S6 at the PBE-GGA level of DFT.

```
Ce2TmTl3S6
1.0
7.141 0.001 0.001
-3.568 6.186 0.001
-1.190 -2.061 7.495
S Ce Tl Tm
6 2 3 1
Direct
0.255 0.255 0.800
0.612 0.934 0.802
0.066 0.388 0.198
0.934 0.612 0.802
0.388 0.066 0.198
0.745 0.745 0.200
0.333 0.667 0.000
0.667 0.333 0.000
0.167 0.833 0.500
0.500 0.500 0.500
0.833 0.167 0.500
0.000 0.000 0.000
```

Computed properties:
**Formation energy from raw total energies**: -1.423 eV per atom
**Volume**: 331 Å³/cell

No. 7
Computed, not measured: an optimized crystal structure of Li2Cd8Pd3 at the PBE-GGA level of DFT.

```
Li2Cd8Pd3
1.0
-4.848 1.020 2.608
-4.837 -0.561 -2.763
-3.724 -9.342 2.743
Cd Li Pd
8 2 3
Direct
0.719 0.719 0.844
0.222 0.722 0.334
0.278 0.778 0.666
0.722 0.722 0.334
0.278 0.278 0.666
0.722 0.222 0.334
0.778 0.278 0.666
0.281 0.281 0.156
0.367 0.367 0.900
0.633 0.633 0.100
0.000 0.000 0.000
0.189 0.189 0.432
0.811 0.811 0.568
```

Computed properties:
**E above lowest polymorph**: 1.59 eV per formula unit
**Volume**: 269 Å³/cell
**DFT formation energy**: -1.51 kcal/mol of atoms

No. 8
Computed, not measured: an optimized crystal structure of Ag2HgTeO4 at the PBE-GGA level of DFT.

```
Ag2HgTeO4
1.0
-7.999 3.166 0.308
-3.286 -7.928 0.667
6.445 2.844 3.272
Te O Hg Ag
2 8 2 4
Direct
0.000 0.000 0.000
0.500 0.500 0.500
0.173 0.814 0.988
0.686 0.327 0.512
0.827 0.186 0.012
0.848 0.850 0.052
0.314 0.673 0.488
0.650 0.652 0.448
0.152 0.150 0.948
0.350 0.348 0.552
0.000 0.500 0.000
0.000 0.500 0.500
0.000 0.000 0.500
0.500 0.000 0.500
0.500 0.000 0.000
0.500 0.500 0.000
```

Computed properties:
**Formation energy from raw total energies**: -0.378 eV per atom
**Volume**: 283 Å³/cell

No. 9
Computed, not measured: an optimized crystal structure of SrCaRu2 at the PBE-GGA level of DFT.

```
SrCaRu2
1.0
4.414 0.000 0.000
0.000 4.441 0.000
0.000 0.000 4.440
Sr Ru Ca
1 2 1
Direct
0.500 0.000 0.500
0.500 0.500 0.000
0.000 0.000 0.000
0.000 0.500 0.500
```

Computed properties:
**E above lowest polymorph**: 1.63 eV per formula unit
**Volume**: 87 Å³/cell
**DFT formation energy**: 16.44 kcal/mol of atoms

No. 10
Computed, not measured: an optimized crystal structure of LuNi2C at the PBE-GGA level of DFT.

```
LuNi2C
1.0
-2.147 0.206 2.774
0.956 -1.415 3.070
1.658 3.765 3.230
Ni C Lu
2 1 1
Direct
0.295 0.295 0.114
0.705 0.705 0.886
0.000 0.000 0.000
0.500 0.500 0.500
```

Computed properties:
**Volume**: 52 Å³/cell
**DFT formation energy**: 3.42 kcal/mol of atoms

No. 11
Computed, not measured: an optimized crystal structure of Si2HgAu at the PBE-GGA level of DFT.

```
Si2HgAu
1.0
-0.086 -4.380 -2.432
1.289 -3.376 3.471
-3.559 3.520 0.230
Si Hg Au
2 1 1
Direct
0.250 0.750 0.500
0.000 0.000 0.000
0.750 0.250 0.500
0.500 0.500 0.000
```

Computed properties:
**Formation energy from raw total energies**: 0.499 eV per atom
**Volume**: 75 Å³/cell

No. 12
Computed, not measured: an optimized crystal structure of Na3Li13 at the PBE-GGA level of DFT.

```
Na3Li13
1.0
7.152 0.003 0.000
-0.022 7.152 0.000
0.000 0.000 7.202
Na Li
3 13
Direct
0.736 0.264 0.000
0.007 0.993 0.255
0.007 0.993 0.745
0.264 0.268 0.000
0.267 0.733 0.000
0.266 0.734 0.500
0.267 0.266 0.500
0.732 0.736 0.000
0.493 0.991 0.259
0.732 0.268 0.500
0.491 0.509 0.743
0.009 0.507 0.259
0.491 0.509 0.257
0.734 0.733 0.500
0.493 0.991 0.741
0.009 0.507 0.741
```

Computed properties:
**Volume**: 368 Å³/cell
**DFT formation energy**: 0.83 kcal/mol of atoms

Repeat the eleventh record exactly.
Computed, not measured: an optimized crystal structure of Si2HgAu at the PBE-GGA level of DFT.

```
Si2HgAu
1.0
-0.086 -4.380 -2.432
1.289 -3.376 3.471
-3.559 3.520 0.230
Si Hg Au
2 1 1
Direct
0.250 0.750 0.500
0.000 0.000 0.000
0.750 0.250 0.500
0.500 0.500 0.000
```

Computed properties:
**Formation energy from raw total energies**: 0.499 eV per atom
**Volume**: 75 Å³/cell

Which formula does entry 4 have? LiDyBe17